No. 1
The following is a SCAN calculation of a crystal of ZnNiTe3O8 relaxed with PBEsol, from the Alexandria database.

Calculated values
* energy: -415.021 eV/cell
* uncorrected formation energy: -1.25 eV per atom
* space-group type: No. 5

Cell and atoms, written as CIF:
```
data_ZnNiTe3O8
_chemical_formula_sum 'Zn2 Ni2 Te6 O16'
_cell_length_a 6.702
_cell_length_b 6.702
_cell_length_c 11.474
_cell_angle_alpha 98.10
_cell_angle_beta 98.10
_cell_angle_gamma 45.42
_space_group_name_H-M_alt 'P 1'
_space_group_IT_number 1
_space_group_name_Hall 'P 1'
loop_
_atom_site_label
_atom_site_type_symbol
_atom_site_fract_x
_atom_site_fract_y
_atom_site_fract_z
Zn1 Zn 0.232 0.232 0.098
Zn2 Zn 0.768 0.768 0.902
Ni1 Ni 0.148 0.381 0.396
Ni2 Ni 0.619 0.852 0.604
Te1 Te 0.014 0.986 0.500
Te2 Te 0.134 0.127 0.797
Te3 Te 0.255 0.474 0.692
Te4 Te 0.366 0.634 0.000
Te5 Te 0.526 0.745 0.308
Te6 Te 0.873 0.866 0.203
O1 O 0.034 0.359 0.939
O2 O 0.055 0.781 0.891
O3 O 0.164 0.062 0.382
O4 O 0.164 0.668 0.393
O5 O 0.219 0.945 0.109
O6 O 0.220 0.555 0.117
O7 O 0.332 0.836 0.607
O8 O 0.364 0.244 0.549
O9 O 0.445 0.780 0.883
O10 O 0.455 0.074 0.773
O11 O 0.485 0.058 0.288
O12 O 0.641 0.966 0.061
O13 O 0.756 0.636 0.451
O14 O 0.926 0.545 0.227
O15 O 0.938 0.836 0.618
O16 O 0.942 0.515 0.712
```



No. 2
The following is a SCAN calculation of a crystal of Ti3NiO relaxed with PBEsol, from the Alexandria database.

Calculated values
* energy: -76.816 eV/cell
* uncorrected formation energy: -1.26 eV per atom
* space-group type: No. 221

Cell and atoms, written as CIF:
```
data_Ti3NiO
_chemical_formula_sum 'Ti3 Ni1 O1'
_cell_length_a 3.995
_cell_length_b 3.995
_cell_length_c 3.995
_cell_angle_alpha 90.00
_cell_angle_beta 90.00
_cell_angle_gamma 90.00
_space_group_name_H-M_alt 'P 1'
_space_group_IT_number 1
_space_group_name_Hall 'P 1'
loop_
_atom_site_label
_atom_site_type_symbol
_atom_site_fract_x
_atom_site_fract_y
_atom_site_fract_z
Ti1 Ti 0.000 0.000 0.500
Ti2 Ti 0.000 0.500 0.000
Ti3 Ti 0.500 0.000 0.000
Ni1 Ni 0.500 0.500 0.500
O1 O 0.000 0.000 0.000
```



No. 3
The following is a SCAN calculation of a crystal of TlNiO3 relaxed with PBEsol, from the Alexandria database.

Calculated values
* energy: -447.420 eV/cell
* uncorrected formation energy: -0.93 eV per atom
* space-group type: No. 62

Cell and atoms, written as CIF:
```
data_TlNiO3
_chemical_formula_sum 'Tl4 Ni4 O12'
_cell_length_a 5.309
_cell_length_b 7.576
_cell_length_c 5.206
_cell_angle_alpha 90.00
_cell_angle_beta 90.00
_cell_angle_gamma 90.00
_space_group_name_H-M_alt 'P 1'
_space_group_IT_number 1
_space_group_name_Hall 'P 1'
loop_
_atom_site_label
_atom_site_type_symbol
_atom_site_fract_x
_atom_site_fract_y
_atom_site_fract_z
Tl1 Tl 0.045 0.250 0.014
Tl2 Tl 0.455 0.750 0.514
Tl3 Tl 0.545 0.250 0.486
Tl4 Tl 0.955 0.750 0.986
Ni1 Ni 0.000 0.000 0.500
Ni2 Ni 0.000 0.500 0.500
Ni3 Ni 0.500 0.000 0.000
Ni4 Ni 0.500 0.500 0.000
O1 O 0.037 0.750 0.402
O2 O 0.212 0.555 0.791
O3 O 0.212 0.945 0.791
O4 O 0.288 0.055 0.291
O5 O 0.288 0.445 0.291
O6 O 0.463 0.250 0.902
O7 O 0.537 0.750 0.098
O8 O 0.712 0.555 0.709
O9 O 0.712 0.945 0.709
O10 O 0.788 0.055 0.209
O11 O 0.788 0.445 0.209
O12 O 0.963 0.250 0.598
```



No. 4
The following is a SCAN calculation of a crystal of V2Ni3O8 relaxed with PBEsol, from the Alexandria database.

Calculated values
* energy: -319.935 eV/cell
* uncorrected formation energy: -2.05 eV per atom
* space-group type: No. 64

Cell and atoms, written as CIF:
```
data_V2Ni3O8
_chemical_formula_sum 'V4 Ni6 O16'
_cell_length_a 6.349
_cell_length_b 6.349
_cell_length_c 8.135
_cell_angle_alpha 90.00
_cell_angle_beta 90.00
_cell_angle_gamma 125.67
_space_group_name_H-M_alt 'P 1'
_space_group_IT_number 1
_space_group_name_Hall 'P 1'
loop_
_atom_site_label
_atom_site_type_symbol
_atom_site_fract_x
_atom_site_fract_y
_atom_site_fract_z
V1 V 0.125 0.875 0.883
V2 V 0.375 0.625 0.383
V3 V 0.625 0.375 0.617
V4 V 0.875 0.125 0.117
Ni1 Ni 0.000 0.000 0.500
Ni2 Ni 0.120 0.380 0.750
Ni3 Ni 0.380 0.120 0.250
Ni4 Ni 0.500 0.500 0.000
Ni5 Ni 0.620 0.880 0.750
Ni6 Ni 0.880 0.620 0.250
O1 O 0.001 0.999 0.745
O2 O 0.123 0.359 0.995
O3 O 0.141 0.377 0.505
O4 O 0.246 0.754 0.267
O5 O 0.254 0.746 0.767
O6 O 0.359 0.123 0.005
O7 O 0.377 0.141 0.495
O8 O 0.499 0.501 0.245
O9 O 0.501 0.499 0.755
O10 O 0.623 0.859 0.505
O11 O 0.641 0.877 0.995
O12 O 0.746 0.254 0.233
O13 O 0.754 0.246 0.733
O14 O 0.859 0.623 0.495
O15 O 0.877 0.641 0.005
O16 O 0.999 0.001 0.255
```



No. 5
The following is a SCAN calculation of a crystal of Zn2NiWO6 relaxed with PBEsol, from the Alexandria database.

Calculated values
* energy: -335.628 eV/cell
* uncorrected formation energy: -1.75 eV per atom
* space-group type: No. 14

Cell and atoms, written as CIF:
```
data_Zn2NiWO6
_chemical_formula_sum 'Zn4 Ni2 W2 O12'
_cell_length_a 5.136
_cell_length_b 5.154
_cell_length_c 9.096
_cell_angle_alpha 90.00
_cell_angle_beta 123.48
_cell_angle_gamma 90.00
_space_group_name_H-M_alt 'P 1'
_space_group_IT_number 1
_space_group_name_Hall 'P 1'
loop_
_atom_site_label
_atom_site_type_symbol
_atom_site_fract_x
_atom_site_fract_y
_atom_site_fract_z
Zn1 Zn 0.235 0.034 0.244
Zn2 Zn 0.235 0.466 0.744
Zn3 Zn 0.765 0.534 0.256
Zn4 Zn 0.765 0.966 0.756
Ni1 Ni 0.000 0.000 0.500
Ni2 Ni 0.000 0.500 0.000
W1 W 0.500 0.000 0.000
W2 W 0.500 0.500 0.500
O1 O 0.143 0.080 0.759
O2 O 0.143 0.420 0.259
O3 O 0.234 0.674 0.554
O4 O 0.234 0.826 0.054
O5 O 0.413 0.184 0.576
O6 O 0.413 0.316 0.076
O7 O 0.587 0.684 0.924
O8 O 0.587 0.816 0.424
O9 O 0.766 0.174 0.946
O10 O 0.766 0.326 0.446
O11 O 0.857 0.580 0.741
O12 O 0.857 0.920 0.241
```



No. 6
The following is a SCAN calculation of a crystal of Y3NiO relaxed with PBEsol, from the Alexandria database.

Calculated values
* energy: -112.108 eV/cell
* uncorrected formation energy: -1.24 eV per atom
* space-group type: No. 221

Cell and atoms, written as CIF:
```
data_Y3NiO
_chemical_formula_sum 'Y3 Ni1 O1'
_cell_length_a 4.598
_cell_length_b 4.598
_cell_length_c 4.598
_cell_angle_alpha 90.00
_cell_angle_beta 90.00
_cell_angle_gamma 90.00
_space_group_name_H-M_alt 'P 1'
_space_group_IT_number 1
_space_group_name_Hall 'P 1'
loop_
_atom_site_label
_atom_site_type_symbol
_atom_site_fract_x
_atom_site_fract_y
_atom_site_fract_z
Y1 Y 0.000 0.000 0.500
Y2 Y 0.000 0.500 0.000
Y3 Y 0.500 0.000 0.000
Ni1 Ni 0.500 0.500 0.500
O1 O 0.000 0.000 0.000
```



No. 7
The following is a SCAN calculation of a crystal of YNiO3 relaxed with PBEsol, from the Alexandria database.

Calculated values
* energy: -74.798 eV/cell
* uncorrected formation energy: -2.42 eV per atom
* space-group type: No. 221

Cell and atoms, written as CIF:
```
data_YNiO3
_chemical_formula_sum 'Y1 Ni1 O3'
_cell_length_a 3.692
_cell_length_b 3.692
_cell_length_c 3.692
_cell_angle_alpha 90.00
_cell_angle_beta 90.00
_cell_angle_gamma 90.00
_space_group_name_H-M_alt 'P 1'
_space_group_IT_number 1
_space_group_name_Hall 'P 1'
loop_
_atom_site_label
_atom_site_type_symbol
_atom_site_fract_x
_atom_site_fract_y
_atom_site_fract_z
Y1 Y 0.000 0.000 0.000
Ni1 Ni 0.500 0.500 0.500
O1 O 0.000 0.500 0.500
O2 O 0.500 0.000 0.500
O3 O 0.500 0.500 0.000
```



No. 8
The following is a SCAN calculation of a crystal of YNiO3 relaxed with PBEsol, from the Alexandria database.

Calculated values
* energy: -303.254 eV/cell
* uncorrected formation energy: -2.62 eV per atom
* space-group type: No. 62

Cell and atoms, written as CIF:
```
data_YNiO3
_chemical_formula_sum 'Y4 Ni4 O12'
_cell_length_a 5.492
_cell_length_b 7.300
_cell_length_c 5.127
_cell_angle_alpha 90.00
_cell_angle_beta 90.00
_cell_angle_gamma 90.00
_space_group_name_H-M_alt 'P 1'
_space_group_IT_number 1
_space_group_name_Hall 'P 1'
loop_
_atom_site_label
_atom_site_type_symbol
_atom_site_fract_x
_atom_site_fract_y
_atom_site_fract_z
Y1 Y 0.075 0.250 0.021
Y2 Y 0.425 0.750 0.521
Y3 Y 0.575 0.250 0.479
Y4 Y 0.925 0.750 0.979
Ni1 Ni 0.000 0.000 0.500
Ni2 Ni 0.000 0.500 0.500
Ni3 Ni 0.500 0.000 0.000
Ni4 Ni 0.500 0.500 0.000
O1 O 0.027 0.750 0.401
O2 O 0.198 0.549 0.806
O3 O 0.198 0.951 0.806
O4 O 0.302 0.049 0.306
O5 O 0.302 0.451 0.306
O6 O 0.473 0.250 0.901
O7 O 0.527 0.750 0.099
O8 O 0.698 0.549 0.694
O9 O 0.698 0.951 0.694
O10 O 0.802 0.049 0.194
O11 O 0.802 0.451 0.194
O12 O 0.973 0.250 0.599
```



No. 9
The following is a SCAN calculation of a crystal of ZnNiO2 relaxed with PBEsol, from the Alexandria database.

Calculated values
* energy: -47.720 eV/cell
* uncorrected formation energy: -1.39 eV per atom
* space-group type: No. 166

Cell and atoms, written as CIF:
```
data_ZnNiO2
_chemical_formula_sum 'Zn1 Ni1 O2'
_cell_length_a 5.118
_cell_length_b 5.118
_cell_length_c 5.118
_cell_angle_alpha 33.87
_cell_angle_beta 33.87
_cell_angle_gamma 33.87
_space_group_name_H-M_alt 'P 1'
_space_group_IT_number 1
_space_group_name_Hall 'P 1'
loop_
_atom_site_label
_atom_site_type_symbol
_atom_site_fract_x
_atom_site_fract_y
_atom_site_fract_z
Zn1 Zn 0.000 0.000 0.000
Ni1 Ni 0.500 0.500 0.500
O1 O 0.248 0.248 0.248
O2 O 0.752 0.752 0.752
```



No. 10
The following is a SCAN calculation of a crystal of ZnNi4O5 relaxed with PBEsol, from the Alexandria database.

Calculated values
* energy: -245.616 eV/cell
* uncorrected formation energy: -1.34 eV per atom
* excess energy over the best structure of this formula in the dataset: 0 meV/atom
* space-group type: No. 12

Cell and atoms, written as CIF:
```
data_ZnNi4O5
_chemical_formula_sum 'Zn2 Ni8 O10'
_cell_length_a 6.542
_cell_length_b 6.542
_cell_length_c 9.710
_cell_angle_alpha 102.10
_cell_angle_beta 102.10
_cell_angle_gamma 26.00
_space_group_name_H-M_alt 'P 1'
_space_group_IT_number 1
_space_group_name_Hall 'P 1'
loop_
_atom_site_label
_atom_site_type_symbol
_atom_site_fract_x
_atom_site_fract_y
_atom_site_fract_z
Zn1 Zn 0.100 0.100 0.301
Zn2 Zn 0.900 0.900 0.699
Ni1 Ni 0.000 0.000 0.000
Ni2 Ni 0.201 0.201 0.603
Ni3 Ni 0.300 0.300 0.902
Ni4 Ni 0.400 0.400 0.199
Ni5 Ni 0.500 0.500 0.500
Ni6 Ni 0.600 0.600 0.801
Ni7 Ni 0.700 0.700 0.098
Ni8 Ni 0.799 0.799 0.397
O1 O 0.051 0.051 0.650
O2 O 0.152 0.152 0.950
O3 O 0.251 0.251 0.248
O4 O 0.348 0.348 0.546
O5 O 0.453 0.453 0.856
O6 O 0.547 0.547 0.144
O7 O 0.652 0.652 0.454
O8 O 0.749 0.749 0.752
O9 O 0.848 0.848 0.050
O10 O 0.949 0.949 0.350
```



No. 11
The following is a SCAN calculation of a crystal of ZnNi4O5 relaxed with PBEsol, from the Alexandria database.

Calculated values
* energy: -122.037 eV/cell
* uncorrected formation energy: -1.27 eV per atom
* excess energy over the best structure of this formula in the dataset: 77 meV/atom
* space-group type: No. 87

Cell and atoms, written as CIF:
```
data_ZnNi4O5
_chemical_formula_sum 'Zn1 Ni4 O5'
_cell_length_a 5.053
_cell_length_b 5.053
_cell_length_c 5.053
_cell_angle_alpha 99.62
_cell_angle_beta 99.62
_cell_angle_gamma 131.74
_space_group_name_H-M_alt 'P 1'
_space_group_IT_number 1
_space_group_name_Hall 'P 1'
loop_
_atom_site_label
_atom_site_type_symbol
_atom_site_fract_x
_atom_site_fract_y
_atom_site_fract_z
Zn1 Zn 0.000 0.000 0.000
Ni1 Ni 0.198 0.399 0.598
Ni2 Ni 0.399 0.802 0.201
Ni3 Ni 0.601 0.198 0.799
Ni4 Ni 0.802 0.601 0.402
O1 O 0.115 0.693 0.808
O2 O 0.307 0.115 0.422
O3 O 0.500 0.500 0.000
O4 O 0.693 0.885 0.578
O5 O 0.885 0.307 0.192
```



No. 12
The following is a SCAN calculation of a crystal of ZnNi4O8 relaxed with PBEsol, from the Alexandria database.

Calculated values
* energy: -142.969 eV/cell
* uncorrected formation energy: -1.15 eV per atom
* space-group type: No. 166

Cell and atoms, written as CIF:
```
data_ZnNi4O8
_chemical_formula_sum 'Zn1 Ni4 O8'
_cell_length_a 5.857
_cell_length_b 5.857
_cell_length_c 5.857
_cell_angle_alpha 57.53
_cell_angle_beta 57.53
_cell_angle_gamma 57.53
_space_group_name_H-M_alt 'P 1'
_space_group_IT_number 1
_space_group_name_Hall 'P 1'
loop_
_atom_site_label
_atom_site_type_symbol
_atom_site_fract_x
_atom_site_fract_y
_atom_site_fract_z
Zn1 Zn 0.000 0.000 0.000
Ni1 Ni 0.000 0.000 0.500
Ni2 Ni 0.000 0.500 0.000
Ni3 Ni 0.500 0.000 0.000
Ni4 Ni 0.500 0.500 0.500
O1 O 0.216 0.744 0.744
O2 O 0.231 0.231 0.231
O3 O 0.256 0.256 0.784
O4 O 0.256 0.784 0.256
O5 O 0.744 0.216 0.744
O6 O 0.744 0.744 0.216
O7 O 0.769 0.769 0.769
O8 O 0.784 0.256 0.256
```